The following is a DFT calculation (meta-GGA SCAN) of Nd3Se4 at its PBEsol-relaxed geometry.

Geometry as CIF:
```
data_Nd3Se4
_cell_length_a 7.6194
_cell_length_b 7.6194
_cell_length_c 7.6194
_cell_angle_alpha 109.47
_cell_angle_beta 109.47
_cell_angle_gamma 109.47
_symmetry_space_group_name_H-M 'P 1'
_symmetry_Int_Tables_number 1
_symmetry_space_group_name_Hall 'P 1'
loop_
_atom_site_label
_atom_site_type_symbol
_atom_site_fract_x
_atom_site_fract_y
_atom_site_fract_z
Nd1 Nd 0.1250 0.7500 0.8750
Nd2 Nd 0.2500 0.6250 0.3750
Nd3 Nd 0.3750 0.2500 0.6250
Nd4 Nd 0.6250 0.3750 0.2500
Nd5 Nd 0.7500 0.8750 0.1250
Nd6 Nd 0.8750 0.1250 0.7500
Se1 Se 0.0000 0.3478 0.5000
Se2 Se 0.0000 0.8478 0.5000
Se3 Se 0.1522 0.1522 0.1522
Se4 Se 0.3478 0.5000 0.0000
Se5 Se 0.5000 0.0000 0.3478
Se6 Se 0.5000 0.0000 0.8478
Se7 Se 0.6522 0.6522 0.6522
Se8 Se 0.8478 0.5000 0.0000
```

Calculated values
ΔE_f (raw)	-2.094	eV/atom

The following is a DFT calculation (meta-GGA SCAN) of Co2PtPb at its PBEsol-relaxed geometry.

Geometry as CIF:
```
data_Co2PtPb
_cell_length_a 4.7350
_cell_length_b 4.7350
_cell_length_c 4.7350
_cell_angle_alpha 131.80
_cell_angle_beta 131.80
_cell_angle_gamma 70.54
_symmetry_space_group_name_H-M 'P 1'
_symmetry_Int_Tables_number 1
_symmetry_space_group_name_Hall 'P 1'
loop_
_atom_site_label
_atom_site_type_symbol
_atom_site_fract_x
_atom_site_fract_y
_atom_site_fract_z
Co1 Co 0.0000 0.0000 0.0000
Co2 Co 0.7500 0.2500 0.5000
Pt1 Pt 0.2500 0.7500 0.5000
Pb1 Pb 0.5000 0.5000 0.0000
```

Calculated values
formation energy from the elements	331	meV per atom